# 1
BeRuO3, optimized geometry, DFT GGA-PBE; formation energy without anion corrections = -0.952 eV/f.u.
1.0
-3.3044 -1.7266 0.8147
1.8855 -2.6956 1.9346
-0.2998 2.0776 3.1871
Be O Ru
1 3 1
direct
0.5000 0.5000 0.5000
0.0000 0.0000 0.5000
0.0000 0.5000 0.0000
0.5000 0.0000 0.0000
0.0000 0.0000 0.0000

---

# 2
SmRhPb, optimized geometry, DFT GGA-PBE; calculated formation energy = -0.500 eV per atom
1.0
4.7121 0.0000 0.0000
-2.3560 4.0577 -0.3062
0.0000 -2.1386 7.9948
Sm Pb Rh
2 2 2
direct
0.2575 0.5150 0.7723
0.7425 0.4850 0.2277
0.5000 0.0000 0.5000
0.0000 0.0000 0.0000
0.8684 0.7368 0.6030
0.1316 0.2632 0.3970

---

# 3
LiLa2CuH, optimized geometry, DFT GGA-PBE; E above lowest polymorph = 0 meV/atom
1.0
5.1668 0.0000 0.0000
0.0000 5.1668 0.0000
0.0000 0.0000 3.8861
Cu Li H La
1 1 1 2
direct
0.5000 0.5000 0.5000
0.0000 0.0000 0.5000
0.0000 0.0000 0.0000
0.5000 0.0000 0.0000
0.0000 0.5000 0.0000

---

# 4
SrLa2TcN, optimized geometry, DFT GGA-PBE; formation energy without anion corrections = 4.203 eV/f.u.
1.0
5.2177 0.0000 0.0000
0.0000 5.7654 0.0000
0.0000 0.0000 5.2177
La Tc N Sr
2 1 1 1
direct
0.0000 0.0000 0.5000
0.5000 0.0000 0.0000
0.0000 0.0000 0.0000
0.5000 0.5000 0.5000
0.0000 0.5000 0.0000

---

Record order is preserved below.
DFT total energy: -28.83; -17.28; -20.15; -26.02 eV/f.u.
Record order is preserved below.
Calculated density: 4.72; 10.21; 5.59; 5.05 g/cm³